# Ge3SF | Alexandria via LeMat-Bulk | PBE | optimized geometry
data_Ge3SF
_chemical_formula_sum 'Ge3 S1 F1'
_cell_length_a 4.658
_cell_length_b 4.658
_cell_length_c 4.658
_cell_angle_alpha 90.00
_cell_angle_beta 90.00
_cell_angle_gamma 90.00
_space_group_name_H-M_alt 'P m -3 m'
_space_group_IT_number 221
_space_group_name_Hall '-P 4 2 3'
loop_
_atom_site_label
_atom_site_type_symbol
_atom_site_fract_x
_atom_site_fract_y
_atom_site_fract_z
_atom_site_occupancy
Ge1 Ge 0.000 0.000 0.500 1
S1 S 0.500 0.500 0.500 1
F1 F 0.000 0.000 0.000 1
# total energy	-18.6	eV per cell
# energy relative to the elements, uncorrected	0.246	eV per atom
# excess energy over the best structure of this formula in the dataset	0	meV/atom